Record 1
# PBE Tl3InTe2O9, optimized geometry
# SG = P-3m1 (164)
# Uncorrected formation energy = -0.854 eV/atom
# E_tot = -73.6 eV/cell
data_Tl3InTe2O9
_chemical_formula_sum 'Tl3 In1 Te2 O9'
_cell_length_a 5.8591
_cell_length_b 5.8591
_cell_length_c 7.2420
_cell_angle_alpha 90.00
_cell_angle_beta 90.00
_cell_angle_gamma 120.00
_symmetry_space_group_name_H-M 'P 1'
_symmetry_Int_Tables_number 1
loop_
_symmetry_equiv_pos_as_xyz
'x,y,z'
loop_
_atom_site_label
_atom_site_fract_x
_atom_site_fract_y
_atom_site_fract_z
Te1 0.3333 0.6667 0.1712
O1 0.0000 0.5000 0.0000
Te2 0.6667 0.3333 0.8288
Tl1 0.3333 0.6667 0.6670
O2 0.6554 0.8277 0.3162
In1 0.0000 0.0000 0.5000
O3 0.3446 0.1723 0.6838
O4 0.1723 0.3446 0.3162
O5 0.5000 0.5000 0.0000
O6 0.5000 0.0000 0.0000
O7 0.1723 0.8277 0.3162
Tl2 0.0000 0.0000 0.0000
Tl3 0.6667 0.3333 0.3330
O8 0.8277 0.6554 0.6838
O9 0.8277 0.1723 0.6838

=====

Record 2
# PBE Mg2Sb, optimized geometry
# SG = Cm (8)
# Uncorrected formation energy = -0.113 eV/atom
# E_tot = -15.3 eV/cell
data_Mg2Sb
_chemical_formula_sum 'Mg4 Sb2'
_cell_length_a 6.0447
_cell_length_b 6.0447
_cell_length_c 7.8453
_cell_angle_alpha 81.88
_cell_angle_beta 81.88
_cell_angle_gamma 30.78
_symmetry_space_group_name_H-M 'P 1'
_symmetry_Int_Tables_number 1
loop_
_symmetry_equiv_pos_as_xyz
'x,y,z'
loop_
_atom_site_label
_atom_site_fract_x
_atom_site_fract_y
_atom_site_fract_z
Mg1 0.2946 0.2946 0.3513
Sb1 0.0191 0.0191 0.3990
Mg2 0.3939 0.3939 0.7172
Mg3 0.6611 0.6611 0.6717
Sb2 0.7661 0.7661 0.0247
Mg4 0.0318 0.0318 0.0028

=====

Record 3
# PBE HgAs2Ru, optimized geometry
# SG = C2/m (12)
# E_tot = -16.9 eV/cell
# Energy of formation = 0.492 eV/atom
data_HgAs2Ru
_chemical_formula_sum 'Hg1 As2 Ru1'
_cell_length_a 6.6677
_cell_length_b 4.7280
_cell_length_c 3.3404
_cell_angle_alpha 90.22
_cell_angle_beta 59.58
_cell_angle_gamma 121.75
_symmetry_space_group_name_H-M 'P 1'
_symmetry_Int_Tables_number 1
loop_
_symmetry_equiv_pos_as_xyz
'x,y,z'
loop_
_atom_site_label
_atom_site_fract_x
_atom_site_fract_y
_atom_site_fract_z
Hg1 0.0000 0.5000 0.5000
As1 0.0000 0.0000 0.0000
As2 0.5000 0.0000 0.5000
Ru1 0.5000 0.5000 0.0000

=====

Record 4
# PBE RbLiHfMo2, optimized geometry
# SG = P4/mmm (123)
# E_tot = -25.5 eV/cell
# Energy of formation = 1.797 eV/atom
data_RbLiHfMo2
_chemical_formula_sum 'Rb1 Li1 Hf1 Mo2'
_cell_length_a 4.9152
_cell_length_b 6.4607
_cell_length_c 4.9152
_cell_angle_alpha 90.00
_cell_angle_beta 90.00
_cell_angle_gamma 90.00
_symmetry_space_group_name_H-M 'P 1'
_symmetry_Int_Tables_number 1
loop_
_symmetry_equiv_pos_as_xyz
'x,y,z'
loop_
_atom_site_label
_atom_site_fract_x
_atom_site_fract_y
_atom_site_fract_z
Mo1 0.0000 0.0000 0.5000
Li1 0.5000 0.5000 0.5000
Rb1 0.0000 0.5000 0.0000
Mo2 0.5000 0.0000 0.0000
Hf1 0.0000 0.0000 0.0000

=====

Record 5
# PBE ScMoIr2, optimized geometry
# SG = R-3m (166)
# E_tot = -35.6 eV/cell
# Distance to the lowest polymorph of the same formula = 128 kJ/mol of formula units
# Energy of formation = -0.186 eV/atom
data_ScMoIr2
_chemical_formula_sum 'Sc1 Mo1 Ir2'
_cell_length_a 9.0067
_cell_length_b 9.0067
_cell_length_c 9.0067
_cell_angle_alpha 18.47
_cell_angle_beta 18.47
_cell_angle_gamma 18.47
_symmetry_space_group_name_H-M 'P 1'
_symmetry_Int_Tables_number 1
loop_
_symmetry_equiv_pos_as_xyz
'x,y,z'
loop_
_atom_site_label
_atom_site_fract_x
_atom_site_fract_y
_atom_site_fract_z
Sc1 0.7500 0.7500 0.7500
Ir1 0.9986 0.9986 0.9986
Ir2 0.5014 0.5014 0.5014
Mo1 0.2500 0.2500 0.2500

=====

Record 6
# PBE ZrTiIn, optimized geometry
# SG = Cmmm (65)
# E_tot = -35.2 eV/cell
# Distance to the lowest polymorph of the same formula = 163 kJ/mol of formula units
# Energy of formation = 0.528 eV/atom
data_ZrTiIn
_chemical_formula_sum 'Zr2 Ti2 In2'
_cell_length_a 3.0045
_cell_length_b 7.1200
_cell_length_c 7.1200
_cell_angle_alpha 94.23
_cell_angle_beta 90.00
_cell_angle_gamma 90.00
_symmetry_space_group_name_H-M 'P 1'
_symmetry_Int_Tables_number 1
loop_
_symmetry_equiv_pos_as_xyz
'x,y,z'
loop_
_atom_site_label
_atom_site_fract_x
_atom_site_fract_y
_atom_site_fract_z
Ti1 0.0000 0.0000 0.0000
Ti2 0.5000 0.5000 0.5000
In1 0.5000 0.2357 0.7643
In2 0.5000 0.7643 0.2357
Zr1 0.0000 0.7362 0.7362
Zr2 0.0000 0.2638 0.2638

=====

Record 7
# PBE DyYEr, optimized geometry
# SG = Pmmn (59)
# E_tot = -30.4 eV/cell
# Distance to the lowest polymorph of the same formula = 37 kJ/mol of formula units
# Energy of formation = 0.151 eV/atom
data_DyYEr
_chemical_formula_sum 'Dy2 Y2 Er2'
_cell_length_a 3.4788
_cell_length_b 3.4640
_cell_length_c 16.0840
_cell_angle_alpha 90.00
_cell_angle_beta 90.00
_cell_angle_gamma 90.00
_symmetry_space_group_name_H-M 'P 1'
_symmetry_Int_Tables_number 1
loop_
_symmetry_equiv_pos_as_xyz
'x,y,z'
loop_
_atom_site_label
_atom_site_fract_x
_atom_site_fract_y
_atom_site_fract_z
Dy1 0.2500 0.7500 0.7331
Y1 0.2500 0.2500 0.0780
Dy2 0.7500 0.2500 0.2669
Er1 0.7500 0.2500 0.5792
Er2 0.2500 0.7500 0.4208
Y2 0.7500 0.7500 0.9220

=====

Record 8
# PBE MnAg2Sb, optimized geometry
# SG = I4/mmm (139)
# Uncorrected formation energy = 0.162 eV/atom
# E_tot = -18.3 eV/cell
data_MnAg2Sb
_chemical_formula_sum 'Mn1 Ag2 Sb1'
_cell_length_a 5.3887
_cell_length_b 5.3887
_cell_length_c 5.3887
_cell_angle_alpha 135.24
_cell_angle_beta 135.30
_cell_angle_gamma 65.11
_symmetry_space_group_name_H-M 'P 1'
_symmetry_Int_Tables_number 1
loop_
_symmetry_equiv_pos_as_xyz
'x,y,z'
loop_
_atom_site_label
_atom_site_fract_x
_atom_site_fract_y
_atom_site_fract_z
Sb1 0.2500 0.7500 0.5000
Ag1 0.5001 0.5001 0.0000
Mn1 0.7500 0.2500 0.5000
Ag2 0.9999 0.9999 0.0000

=====

Record 9
# PBE RuAu2I6, optimized geometry
# SG = C2/c (15)
# Uncorrected formation energy = -0.015 eV/atom
# E_tot = -50.5 eV/cell
data_RuAu2I6
_chemical_formula_sum 'Ru2 Au4 I12'
_cell_length_a 6.8025
_cell_length_b 10.8361
_cell_length_c 10.8361
_cell_angle_alpha 92.52
_cell_angle_beta 79.47
_cell_angle_gamma 79.47
_symmetry_space_group_name_H-M 'P 1'
_symmetry_Int_Tables_number 1
loop_
_symmetry_equiv_pos_as_xyz
'x,y,z'
loop_
_atom_site_label
_atom_site_fract_x
_atom_site_fract_y
_atom_site_fract_z
Au1 0.6988 0.6059 0.6069
Au2 0.1988 0.6069 0.6059
I1 0.4438 0.7436 0.4913
I2 0.9438 0.4913 0.7436
I3 0.4765 0.9598 0.8400
I4 0.5562 0.2564 0.5087
I5 0.5235 0.0402 0.1600
I6 0.5384 0.3013 0.9376
Ru1 0.2500 0.9284 0.0716
I7 0.9616 0.0624 0.6987
I8 0.0384 0.9376 0.3013
I9 0.4616 0.6987 0.0624
Ru2 0.7500 0.0716 0.9284
I10 0.0235 0.1600 0.0402
Au3 0.8012 0.3931 0.3941
I11 0.9765 0.8400 0.9598
I12 0.0562 0.5087 0.2564
Au4 0.3012 0.3941 0.3931

=====

Record 10
# PBE Sr3ZnPd2O6, optimized geometry
# SG = P-3m1 (164)
# Uncorrected formation energy = -1.404 eV/atom
# E_tot = -63.3 eV/cell
data_Sr3ZnPd2O6
_chemical_formula_sum 'Sr3 Zn1 Pd2 O6'
_cell_length_a 5.7513
_cell_length_b 5.7513
_cell_length_c 6.4242
_cell_angle_alpha 90.00
_cell_angle_beta 90.00
_cell_angle_gamma 120.00
_symmetry_space_group_name_H-M 'P 1'
_symmetry_Int_Tables_number 1
loop_
_symmetry_equiv_pos_as_xyz
'x,y,z'
loop_
_atom_site_label
_atom_site_fract_x
_atom_site_fract_y
_atom_site_fract_z
O1 0.1644 0.3287 0.3066
Sr1 0.0000 0.0000 0.0000
Sr2 0.6667 0.3333 0.3798
Sr3 0.3333 0.6667 0.6202
O2 0.3287 0.1644 0.6934
O3 0.1644 0.8356 0.3066
Pd1 0.6667 0.3333 0.8756
O4 0.8356 0.1644 0.6934
O5 0.8356 0.6713 0.6934
Zn1 0.0000 0.0000 0.5000
O6 0.6713 0.8356 0.3066
Pd2 0.3333 0.6667 0.1244

=====

Record 11
# PBE PrMnTl2Se4, optimized geometry
# SG = Imma (74)
# Uncorrected formation energy = -0.795 eV/atom
# E_tot = -78.0 eV/cell
data_PrMnTl2Se4
_chemical_formula_sum 'Pr2 Mn2 Tl4 Se8'
_cell_length_a 8.5728
_cell_length_b 8.5728
_cell_length_c 8.7482
_cell_angle_alpha 120.69
_cell_angle_beta 120.69
_cell_angle_gamma 89.84
_symmetry_space_group_name_H-M 'P 1'
_symmetry_Int_Tables_number 1
loop_
_symmetry_equiv_pos_as_xyz
'x,y,z'
loop_
_atom_site_label
_atom_site_fract_x
_atom_site_fract_y
_atom_site_fract_z
Se1 0.2454 0.2549 0.4518
Se2 0.7549 0.7454 0.9518
Tl1 0.5000 0.0000 0.0000
Se3 0.2451 0.2546 0.0482
Pr1 0.0000 0.5000 0.5000
Mn1 0.5000 0.5000 0.5000
Se4 0.7875 0.2408 0.0142
Mn2 0.0000 0.0000 0.0000
Tl2 0.5000 0.0000 0.5000
Se5 0.7546 0.7451 0.5482
Se6 0.7408 0.2875 0.5142
Se7 0.2592 0.7125 0.4858
Tl3 0.0000 0.0000 0.5000
Tl4 0.5000 0.5000 0.0000
Se8 0.2125 0.7592 0.9858
Pr2 0.0000 0.5000 0.0000

=====

Record 12
# PBE AcLaSmGa, optimized geometry
# SG = F-43m (216)
# E_tot = -16.8 eV/cell
# Energy of formation = -0.011 eV/atom
data_AcLaSmGa
_chemical_formula_sum 'Ac1 La1 Sm1 Ga1'
_cell_length_a 5.6233
_cell_length_b 5.6233
_cell_length_c 5.6233
_cell_angle_alpha 60.00
_cell_angle_beta 60.00
_cell_angle_gamma 60.00
_symmetry_space_group_name_H-M 'P 1'
_symmetry_Int_Tables_number 1
loop_
_symmetry_equiv_pos_as_xyz
'x,y,z'
loop_
_atom_site_label
_atom_site_fract_x
_atom_site_fract_y
_atom_site_fract_z
Sm1 0.0000 0.0000 0.0000
La1 0.5000 0.5000 0.5000
Ac1 0.7500 0.7500 0.7500
Ga1 0.2500 0.2500 0.2500